Th4Ir3Rh: optimized geometry, GGA-PBE.

Calculated values
Total energy, eV/atom: -8.903
Formation energy, eV/atom: -0.952
Crystal system: tetragonal

Lattice parameters (Å, degrees): 5.837 5.837 7.139 114.13 114.13 90.00
Sites, in units of the cell vectors:
Rh 0.000 0.000 0.000
Th 0.000 0.500 0.000
Th 0.251 0.251 0.502
Th 0.749 0.749 0.498
Th 0.500 0.000 0.000
Ir 0.250 0.750 0.500
Ir 0.750 0.250 0.500
Ir 0.500 0.500 0.000